# BaBIr, relaxed, DFT GGA-PBE
# - V (Å³/f.u.) = 79.2
# - E_tot (eV/cell) = -11.5
# - energy relative to the lowest polymorph listed for this composition (meV per atom) = 923
data_BaBIr
_cell_length_a 4.8207
_cell_length_b 4.8207
_cell_length_c 4.8207
_cell_angle_alpha 60.00
_cell_angle_beta 60.00
_cell_angle_gamma 60.00
_space_group_name_H-M_alt 'P 1'
_space_group_IT_number 1
loop_
_space_group_symop_operation_xyz
'x,y,z'
loop_
_atom_site_label
_atom_site_type_symbol
_atom_site_fract_x
_atom_site_fract_y
_atom_site_fract_z
_atom_site_occupancy
Ir1 Ir 0.7500 0.7500 0.7500 1
B1 B 0.2500 0.2500 0.2500 1
Ba1 Ba 0.0000 0.0000 0.0000 1



# BaBIr, relaxed, DFT GGA-PBE
# - V (Å³/f.u.) = 70.3
# - E_tot (eV/cell) = -13.8
# - energy relative to the lowest polymorph listed for this composition (meV per atom) = 171
data_BaBIr
_cell_length_a 4.6320
_cell_length_b 4.6320
_cell_length_c 4.6320
_cell_angle_alpha 60.00
_cell_angle_beta 60.00
_cell_angle_gamma 60.00
_space_group_name_H-M_alt 'P 1'
_space_group_IT_number 1
loop_
_space_group_symop_operation_xyz
'x,y,z'
loop_
_atom_site_label
_atom_site_type_symbol
_atom_site_fract_x
_atom_site_fract_y
_atom_site_fract_z
_atom_site_occupancy
Ir1 Ir 0.0000 0.0000 0.0000 1
B1 B 0.2500 0.2500 0.2500 1
Ba1 Ba 0.7500 0.7500 0.7500 1



# BaLaB2Pt8, relaxed, DFT GGA-PBE
# - V (Å³/f.u.) = 207.9
# - E_tot (eV/cell) = -76.7
# - energy relative to the lowest polymorph listed for this composition (meV per atom) = 29
data_BaLaB2Pt8
_cell_length_a 5.6046
_cell_length_b 5.6046
_cell_length_c 7.6434
_cell_angle_alpha 90.00
_cell_angle_beta 90.00
_cell_angle_gamma 120.00
_space_group_name_H-M_alt 'P 1'
_space_group_IT_number 1
loop_
_space_group_symop_operation_xyz
'x,y,z'
loop_
_atom_site_label
_atom_site_type_symbol
_atom_site_fract_x
_atom_site_fract_y
_atom_site_fract_z
_atom_site_occupancy
Pt1 Pt 0.5000 0.5000 0.2001 1
Pt2 Pt 0.6667 0.3333 0.5000 1
Pt3 Pt 0.0000 0.5000 0.2001 1
B1 B 0.3333 0.6667 0.0000 1
La1 La 0.0000 0.0000 0.5000 1
Pt4 Pt 0.0000 0.5000 0.7999 1
Pt5 Pt 0.5000 0.0000 0.7999 1
B2 B 0.6667 0.3333 0.0000 1
Ba1 Ba 0.0000 0.0000 0.0000 1
Pt6 Pt 0.3333 0.6667 0.5000 1
Pt7 Pt 0.5000 0.5000 0.7999 1
Pt8 Pt 0.5000 0.0000 0.2001 1



# BaLaB2Pt8, relaxed, DFT GGA-PBE
# - V (Å³/f.u.) = 208.8
# - E_tot (eV/cell) = -77.1
# - energy relative to the lowest polymorph listed for this composition (meV per atom) = 0
data_BaLaB2Pt8
_cell_length_a 5.6141
_cell_length_b 5.6141
_cell_length_c 7.6499
_cell_angle_alpha 90.00
_cell_angle_beta 90.00
_cell_angle_gamma 120.00
_space_group_name_H-M_alt 'P 1'
_space_group_IT_number 1
loop_
_space_group_symop_operation_xyz
'x,y,z'
loop_
_atom_site_label
_atom_site_type_symbol
_atom_site_fract_x
_atom_site_fract_y
_atom_site_fract_z
_atom_site_occupancy
Pt1 Pt 0.0000 0.5000 0.1967 1
Ba1 Ba 0.0000 0.0000 0.5000 1
Pt2 Pt 0.5000 0.5000 0.1967 1
B1 B 0.6667 0.3333 0.0000 1
Pt3 Pt 0.5000 0.0000 0.1967 1
B2 B 0.3333 0.6667 0.0000 1
Pt4 Pt 0.6667 0.3333 0.5000 1
Pt5 Pt 0.5000 0.5000 0.8033 1
Pt6 Pt 0.5000 0.0000 0.8033 1
Pt7 Pt 0.3333 0.6667 0.5000 1
Pt8 Pt 0.0000 0.5000 0.8033 1
La1 La 0.0000 0.0000 0.0000 1



# Ba2LuB, relaxed, DFT GGA-PBE
# - V (Å³/f.u.) = 397.0
# - E_tot (eV/cell) = -5.3
data_Ba2LuB
_cell_length_a 8.1324
_cell_length_b 8.1324
_cell_length_c 8.1324
_cell_angle_alpha 61.96
_cell_angle_beta 61.96
_cell_angle_gamma 61.96
_space_group_name_H-M_alt 'P 1'
_space_group_IT_number 1
loop_
_space_group_symop_operation_xyz
'x,y,z'
loop_
_atom_site_label
_atom_site_type_symbol
_atom_site_fract_x
_atom_site_fract_y
_atom_site_fract_z
_atom_site_occupancy
B1 B 0.5037 0.5037 0.5037 1
Lu1 Lu 0.7336 0.7336 0.7336 1
Ba1 Ba 0.0060 0.0060 0.0060 1
Ba2 Ba 0.2567 0.2567 0.2567 1



# BaLuB, relaxed, DFT GGA-PBE
# - V (Å³/f.u.) = 79.4
# - E_tot (eV/cell) = -11.2
# - energy relative to the lowest polymorph listed for this composition (meV per atom) = 0
data_BaLuB
_cell_length_a 4.8241
_cell_length_b 4.8241
_cell_length_c 4.8241
_cell_angle_alpha 60.00
_cell_angle_beta 60.00
_cell_angle_gamma 60.00
_space_group_name_H-M_alt 'P 1'
_space_group_IT_number 1
loop_
_space_group_symop_operation_xyz
'x,y,z'
loop_
_atom_site_label
_atom_site_type_symbol
_atom_site_fract_x
_atom_site_fract_y
_atom_site_fract_z
_atom_site_occupancy
Lu1 Lu 0.7500 0.7500 0.7500 1
B1 B 0.0000 0.0000 0.0000 1
Ba1 Ba 0.2500 0.2500 0.2500 1